A plane-wave DFT calculation with PBE was carried out for a geometry-optimized UAl6Cu3 structure.

## Properties
Symmetry: P2_1/m, No. 11
Uncorrected energy in eV/atom: -4.620
Formation energy from the elements in meV/atom: -17

abc: 4.0344 8.7211 9.7811
angles: 96.97 90.00 90.00
Closest atoms and distances in Å follow each position.
Sites, in units of the cell vectors:
U 0.7500 0.9829 0.7905  5 Cu 2.99-3.32, 8 Al 3.00-3.20
U 0.2500 0.0171 0.2095  5 Cu 2.99-3.32, 8 Al 3.00-3.20
Al 0.7500 0.4123 0.5761  4 Cu 2.55-2.66, 2 Al 2.70-2.83
Al 0.2500 0.5877 0.4239  4 Cu 2.55-2.66, 2 Al 2.70-2.83
Al 0.7500 0.8095 0.0547  4 Cu 2.44-2.72, 1 Al 2.66
Al 0.2500 0.1905 0.9453  4 Cu 2.44-2.72, 1 Al 2.66
Al 0.7500 0.4992 0.0930  4 Cu 2.49-2.73, 5 Al 2.68-2.78
Al 0.2500 0.5008 0.9070  4 Cu 2.49-2.73, 5 Al 2.68-2.78
Al 0.7500 0.7915 0.3241  3 Cu 2.46-2.72, 1 Al 2.66
Al 0.2500 0.2085 0.6759  3 Cu 2.46-2.72, 1 Al 2.66
Al 0.7500 0.0974 0.4626  2 Cu 2.66, 4 Al 2.79-2.84
Al 0.2500 0.9026 0.5374  2 Cu 2.66, 4 Al 2.79-2.84
Al 0.7500 0.6395 0.7905  4 Cu 2.45-2.67, 3 Al 2.68-2.70
Al 0.2500 0.3605 0.2095  4 Cu 2.45-2.67, 3 Al 2.68-2.70
Cu 0.7500 0.3426 0.8335  9 Al 2.50-2.73
Cu 0.2500 0.6574 0.1665  9 Al 2.50-2.73
Cu 0.7500 0.7073 0.5550  7 Al 2.45-2.66
Cu 0.2500 0.2927 0.4450  7 Al 2.45-2.66
Cu 0.7500 0.2126 0.0867  5 Al 2.44-2.61
Cu 0.2500 0.7874 0.9133  5 Al 2.44-2.61


A plane-wave DFT calculation with PBE was carried out for a geometry-optimized UAl6Cu6 structure.

## Properties
Symmetry: Fmmm, No. 69
Uncorrected energy in eV/atom: -4.594
Formation energy from the elements in meV/atom: -107

abc: 8.7458 6.7383 6.6473
angles: 81.59 49.66 48.75
Closest atoms and distances in Å follow each position.
Sites, in units of the cell vectors:
U 0.0000 0.0000 0.0000  8 Cu 3.05-3.32, 12 Al 3.29-3.37
Al 0.5000 0.0000 0.5000  6 Al 2.56-2.62, 4 Cu 2.63
Al 0.0000 0.5000 0.0000  6 Al 2.56-2.62, 4 Cu 2.63
Al 0.4886 0.7357 0.2643  4 Cu 2.45-2.71, 2 Al 2.62
Al 0.5114 0.2643 0.7357  4 Cu 2.45-2.71, 2 Al 2.62
Al 0.7357 0.4886 0.5114  4 Cu 2.45-2.71, 2 Al 2.62
Al 0.2643 0.5114 0.4886  4 Cu 2.45-2.71, 2 Al 2.62
Cu 0.9959 0.6518 0.3482  6 Al 2.63-2.75, 3 Cu 2.66-2.72
Cu 0.0041 0.3482 0.6518  6 Al 2.63-2.75, 3 Cu 2.66-2.72
Cu 0.6518 0.9959 0.0041  6 Al 2.63-2.75, 3 Cu 2.66-2.72
Cu 0.3482 0.0041 0.9959  6 Al 2.63-2.75, 3 Cu 2.66-2.72
Cu 0.0000 0.0000 0.5000  4 Al 2.45, 6 Cu 2.56-2.72
Cu 0.5000 0.5000 0.0000  4 Al 2.45, 6 Cu 2.56-2.72


A plane-wave DFT calculation with PBE was carried out for a geometry-optimized UAlCu structure.

## Properties
Symmetry: R-3m, No. 166
Uncorrected energy in eV/atom: -6.363
Formation energy from the elements in meV/atom: 13

abc: 3.9604 3.9604 8.3101
angles: 76.24 76.24 60.05
Closest atoms and distances in Å follow each position.
Sites, in units of the cell vectors:
U 0.0171 0.0171 0.2326  3 U 2.61, 3 Cu 2.84
U 0.7361 0.7361 0.0748  3 U 2.61, 3 Cu 2.84-2.85
Cu 0.6133 0.6133 0.4443  4 Al 2.44-2.48
Cu 0.1400 0.1400 0.8629  4 Al 2.44-2.48
Al 0.2438 0.2438 0.5522  4 Cu 2.44-2.48
Al 0.5094 0.5094 0.7552  4 Cu 2.44-2.48


A plane-wave DFT calculation with PBE was carried out for a geometry-optimized UAlCu structure.

## Properties
Symmetry: P-6m2, No. 187
Uncorrected energy in eV/atom: -6.404
Formation energy from the elements in meV/atom: -29

abc: 2.8654 4.6527 4.6527
angles: 120.00 90.00 90.00
Closest atoms and distances in Å follow each position.
Sites, in units of the cell vectors:
U 0.6666 0.3333 0.6667  2 U 2.87, 6 Cu 3.04, 6 Al 3.04
Al 0.1665 0.6667 0.3333  3 Cu 2.69, 2 Al 2.87
Cu 0.1669 0.0000 0.0000  3 Al 2.69, 2 Cu 2.87


A plane-wave DFT calculation with PBE was carried out for a geometry-optimized UAl8Cu4 structure.

## Properties
Symmetry: I4/mmm, No. 139
Uncorrected energy in eV/atom: -4.644
Formation energy from the elements in meV/atom: -212

abc: 6.7542 6.7542 6.7542
angles: 98.21 98.21 135.59
Closest atoms and distances in Å follow each position.
Sites, in units of the cell vectors:
U 0.0000 0.0000 0.0000  12 Al 3.06-3.19, 8 Cu 3.38
Al 0.0000 0.3464 0.3464  4 Cu 2.69, 5 Al 2.72-2.85
Al 0.3464 0.0000 0.3464  4 Cu 2.69, 5 Al 2.72-2.85
Al 0.6536 0.0000 0.6536  4 Cu 2.69, 5 Al 2.72-2.85
Al 0.0000 0.6536 0.6536  4 Cu 2.69, 5 Al 2.72-2.85
Al 0.5000 0.2828 0.7828  4 Cu 2.57, 6 Al 2.72-2.85
Al 0.2828 0.5000 0.7828  4 Cu 2.57, 6 Al 2.72-2.85
Al 0.7172 0.5000 0.2172  4 Cu 2.57, 6 Al 2.72-2.85
Al 0.5000 0.7172 0.2172  4 Cu 2.57, 6 Al 2.72-2.85
Cu 0.5000 0.5000 0.5000  2 Cu 2.55, 8 Al 2.57-2.69
Cu 0.5000 0.0000 0.0000  2 Cu 2.55, 8 Al 2.57-2.69
Cu 0.0000 0.5000 0.0000  2 Cu 2.55, 8 Al 2.57-2.69
Cu 0.0000 0.0000 0.5000  2 Cu 2.55, 8 Al 2.57-2.69


A plane-wave DFT calculation with PBE was carried out for a geometry-optimized UAl6Cu6 structure.

## Properties
Symmetry: Immm, No. 71
Uncorrected energy in eV/atom: -4.712
Formation energy from the elements in meV/atom: -226

abc: 5.0698 6.6475 6.6475
angles: 80.84 67.58 67.58
Closest atoms and distances in Å follow each position.
Sites, in units of the cell vectors:
U 0.0000 0.0000 0.0000  8 Al 2.98-3.08, 12 Cu 3.22-3.32
Al 0.3476 0.6524 0.6524  6 Cu 2.64-2.67, 3 Al 2.67-2.85
Al 0.6524 0.3476 0.3476  6 Cu 2.64-2.67, 3 Al 2.67-2.85
Al 0.0000 0.3461 0.6539  3 Al 2.65-2.95, 6 Cu 2.66-2.72
Al 0.0000 0.6539 0.3461  3 Al 2.65-2.95, 6 Cu 2.66-2.72
Al 0.3003 0.1997 0.1997  6 Cu 2.54-2.65
Al 0.6997 0.8003 0.8003  6 Cu 2.54-2.65
Cu 0.0000 0.5000 0.0000  4 Cu 2.53-2.54, 6 Al 2.54-2.66
Cu 0.5000 0.5000 0.0000  4 Cu 2.53-2.54, 6 Al 2.54-2.66
Cu 0.0000 0.0000 0.5000  4 Cu 2.53-2.54, 6 Al 2.54-2.66
Cu 0.5000 0.0000 0.5000  4 Cu 2.53-2.54, 6 Al 2.54-2.66
Cu 0.5000 0.7688 0.2312  4 Cu 2.54, 6 Al 2.65-2.72
Cu 0.5000 0.2312 0.7688  4 Cu 2.54, 6 Al 2.65-2.72